Here is a relaxed structure of Nd6Sb3P2Se from the Alexandria database. Energies are from PBE-GGA.

Properties
- Density of states at the Fermi level: 0.192 states/eV per atom
- Formation energy (no corrections): -1.416 eV/atom
- Size of the total moment: 0.0000 μB/atom
- Theoretical density: 6.49 g/cm3

CIF file:
```
data_Nd6Sb3P2Se
_space_group_name_H-M_alt 'C 1 2/m 1'
_space_group_IT_number 12
_cell_length_a 19.0199
_cell_length_b 4.3399
_cell_length_c 8.7564
_cell_angle_alpha 90.00
_cell_angle_beta 103.69
_cell_angle_gamma 90.00
loop_
_space_group_symop_operation_xyz
'x,y,z'
'-x,-y,-z'
'-x,y,-z'
'x,-y,z'
'x+1/2,y+1/2,z'
'-x+1/2,-y+1/2,-z'
'-x+1/2,y+1/2,-z'
'x+1/2,-y+1/2,z'
loop_
_atom_site_label
_atom_site_type_symbol
_atom_site_fract_x
_atom_site_fract_y
_atom_site_fract_z
_atom_site_occupancy
Nd1 Nd 0.0071 0.0000 0.2486 1
Nd2 Nd 0.1667 0.5000 0.1002 1
Nd3 Nd 0.1720 0.5000 0.5707 1
Sb1 Sb 0.0000 0.5000 0.5000 1
Sb2 Sb 0.1642 0.0000 0.8333 1
P1 P 0.1671 0.0000 0.3333 1
Se1 Se 0.0000 0.5000 0.0000 1
```